Material: SiCl
Method: DFT, GGA-PBE
State: relaxed

Energy relative to the elements, uncorrected, eV/atom: 0.0119
VASP energy, eV/atom: -3.623
Distance to the lowest polymorph of the same formula, meV per atom: 686

extended XYZ file:
```
12
Lattice="-0.227 0.193 5.488 2.802 -4.990 0.291 10.442 5.878 0.225" Properties=species:S:1:pos:R:3 pbc="T T T"
Si 11.141 2.096 3.139
Si 7.211 1.827 0.234
Si 5.136 0.659 0.189
Si 6.184 1.119 2.968
Si 1.726 -3.074 0.180
Si 2.774 -2.613 2.959
Cl 4.010 1.460 2.867
Cl 7.022 3.156 2.932
Cl 8.006 -2.021 0.402
Cl 11.330 0.767 0.442
Cl -0.097 0.066 2.746
Cl 3.900 -3.415 0.281
```